Record 1
This record from the Alexandria database describes an optimized crystal structure of SmErMnAl. The functional is GGA-PBE.

Structure (extended XYZ):
```
4
Lattice="0.000 3.611 3.611 3.611 0.000 3.611 3.611 3.611 0.000" Properties=species:S:1:pos:R:3 pbc="T T T"
Sm 0.000 0.000 0.000
Er 3.611 3.611 3.611
Mn 1.805 1.805 1.805
Al 5.416 5.416 5.416
```

Computed properties:
The energy relative to the elements is -0.0569 eV per atom. The electronic total energy comes out at -22.42 eV for the cell shown. The value obtained for the volume is 94.1 Å³ per cell.

Record 2
This record from the Alexandria database describes an optimized crystal structure of Pm8ZnGe3I4. The functional is GGA-PBE.

Structure (extended XYZ):
```
16
Lattice="4.339 2.505 7.542 -4.339 2.505 7.542 0.000 -5.010 7.542" Properties=species:S:1:pos:R:3 pbc="T T T"
Pm 0.000 0.000 5.283
Pm -2.168 -1.252 12.853
Pm 0.000 -2.503 9.774
Pm -2.168 1.252 9.774
Pm 2.168 -1.252 12.853
Pm 0.000 2.503 12.853
Pm 2.168 1.252 9.774
Pm 0.000 0.000 17.344
Zn 0.000 0.000 11.313
Ge -4.339 0.000 11.313
Ge -2.169 1.253 3.771
Ge 2.169 1.253 3.771
I 0.000 0.000 0.000
I -2.169 -1.253 7.542
I -2.169 1.253 15.084
I 0.000 2.505 7.542
```

Computed properties:
The raw formation energy is -86 kJ/mol of atoms. The electronic total energy comes out at -73.63 eV for the cell shown. The value obtained for the volume is 491.8 Å³ per cell.

Record 3
This record from the Alexandria database describes an optimized crystal structure of BaLi2Sc. The functional is GGA-PBE.

Structure (extended XYZ):
```
4
Lattice="3.993 0.000 0.000 0.000 5.407 0.000 0.000 0.000 5.711" Properties=species:S:1:pos:R:3 pbc="T T T"
Ba 0.000 0.000 0.000
Li 0.000 2.704 2.856
Li 1.997 2.704 0.000
Sc 1.997 0.000 2.856
```

Computed properties:
The calculation puts the energy above the most stable polymorph in this dataset at 135.7 meV per atom. The energy relative to the elements is 0.3661 eV per atom. The electronic total energy comes out at -10.62 eV for the cell shown. The value obtained for the volume is 123.3 Å³ per cell.